Crystalline AlRh3 at its relaxed geometry. Source: the Alexandria database, functional GGA-PBEsol. Values from VASP.

Properties
Total magnetization   0.000 μB/atom
Symmetry   No. 65

The structure in Quantum ESPRESSO input format:
```
&SYSTEM
  ibrav = 0, nat = 4, ntyp = 2
/
ATOMIC_SPECIES
Al 26.98 Al.upf
Rh 102.91 Rh.upf
ATOMIC_POSITIONS crystal
Al 0.000 0.000 0.000
Rh 0.000 0.500 0.500
Rh 0.500 0.000 0.500
Rh 0.500 0.500 0.000
CELL_PARAMETERS angstrom
2.718 -3.622 0.000
2.718 3.622 0.000
0.000 0.000 2.729
```



Crystalline Al5Rh3 at its relaxed geometry. Source: the Alexandria database, functional GGA-PBEsol. Values from VASP.

Properties
Total magnetization   0.000 μB/atom
Symmetry   No. 65

The structure in Quantum ESPRESSO input format:
```
&SYSTEM
  ibrav = 0, nat = 8, ntyp = 2
/
ATOMIC_SPECIES
Al 26.98 Al.upf
Rh 102.91 Rh.upf
ATOMIC_POSITIONS crystal
Al 0.000 0.000 0.000
Al 0.000 0.500 0.000
Al 0.294 0.706 0.500
Al 0.500 0.000 0.000
Al 0.706 0.294 0.500
Rh 0.201 0.201 0.500
Rh 0.500 0.500 0.000
Rh 0.799 0.799 0.500
CELL_PARAMETERS angstrom
3.672 -3.713 0.000
3.672 3.713 0.000
0.000 0.000 4.046
```



Crystalline AlRh3 at its relaxed geometry. Source: the Alexandria database, functional GGA-PBEsol. Values from VASP.

Properties
Total magnetization   0.000 μB/atom
Symmetry   No. 194

The structure in Quantum ESPRESSO input format:
```
&SYSTEM
  ibrav = 0, nat = 8, ntyp = 2
/
ATOMIC_SPECIES
Al 26.98 Al.upf
Rh 102.91 Rh.upf
ATOMIC_POSITIONS crystal
Al 0.333 0.667 0.250
Al 0.667 0.333 0.750
Rh 0.167 0.335 0.750
Rh 0.167 0.833 0.750
Rh 0.335 0.167 0.250
Rh 0.665 0.833 0.750
Rh 0.833 0.167 0.250
Rh 0.833 0.665 0.250
CELL_PARAMETERS angstrom
5.378 0.000 0.000
-2.689 4.658 0.000
0.000 0.000 4.304
```



Crystalline Al3Rh at its relaxed geometry. Source: the Alexandria database, functional GGA-PBEsol. Values from VASP.

Properties
Total magnetization   0.000 μB/atom
Symmetry   No. 123

The structure in Quantum ESPRESSO input format:
```
&SYSTEM
  ibrav = 0, nat = 4, ntyp = 2
/
ATOMIC_SPECIES
Al 26.98 Al.upf
Rh 102.91 Rh.upf
ATOMIC_POSITIONS crystal
Al 0.000 0.000 0.000
Al 0.000 0.500 0.500
Al 0.500 0.000 0.500
Rh 0.500 0.500 0.000
CELL_PARAMETERS angstrom
4.300 0.000 0.000
0.000 4.300 0.000
0.000 0.000 3.074
```



Crystalline Al3Rh at its relaxed geometry. Source: the Alexandria database, functional GGA-PBEsol. Values from VASP.

Properties
Total magnetization   0.000 μB/atom
Symmetry   No. 223

The structure in Quantum ESPRESSO input format:
```
&SYSTEM
  ibrav = 0, nat = 8, ntyp = 2
/
ATOMIC_SPECIES
Al 26.98 Al.upf
Rh 102.91 Rh.upf
ATOMIC_POSITIONS crystal
Al 0.000 0.250 0.500
Al 0.000 0.750 0.500
Al 0.250 0.500 0.000
Al 0.500 0.000 0.250
Al 0.500 0.000 0.750
Al 0.750 0.500 0.000
Rh 0.000 0.000 0.000
Rh 0.500 0.500 0.500
CELL_PARAMETERS angstrom
4.866 0.000 0.000
0.000 4.866 0.000
0.000 0.000 4.866
```



Crystalline AlRh3 at its relaxed geometry. Source: the Alexandria database, functional GGA-PBEsol. Values from VASP.

Properties
Total magnetization   0.000 μB/atom
Symmetry   No. 12

The structure in Quantum ESPRESSO input format:
```
&SYSTEM
  ibrav = 0, nat = 4, ntyp = 2
/
ATOMIC_SPECIES
Al 26.98 Al.upf
Rh 102.91 Rh.upf
ATOMIC_POSITIONS crystal
Al 0.000 0.000 0.000
Rh 0.256 0.256 0.749
Rh 0.500 0.500 0.500
Rh 0.744 0.744 0.251
CELL_PARAMETERS angstrom
4.426 -1.363 0.000
4.426 1.363 0.000
-0.985 0.000 4.460
```



Crystalline Al2RuRh at its relaxed geometry. Source: the Alexandria database, functional GGA-PBEsol. Values from VASP.

Properties
Total magnetization   0.000 μB/atom
Symmetry   No. 123

The structure in Quantum ESPRESSO input format:
```
&SYSTEM
  ibrav = 0, nat = 4, ntyp = 3
/
ATOMIC_SPECIES
Al 26.98 Al.upf
Ru 101.07 Ru.upf
Rh 102.91 Rh.upf
ATOMIC_POSITIONS crystal
Al 0.000 0.500 0.000
Al 0.500 0.000 0.000
Ru 0.000 0.000 0.500
Rh 0.500 0.500 0.500
CELL_PARAMETERS angstrom
4.194 0.000 0.000
0.000 4.194 0.000
0.000 0.000 2.978
```



Crystalline Al2RuRh at its relaxed geometry. Source: the Alexandria database, functional GGA-PBEsol. Values from VASP.

Properties
Total magnetization   0.000 μB/atom
Symmetry   No. 225

The structure in Quantum ESPRESSO input format:
```
&SYSTEM
  ibrav = 0, nat = 4, ntyp = 3
/
ATOMIC_SPECIES
Al 26.98 Al.upf
Ru 101.07 Ru.upf
Rh 102.91 Rh.upf
ATOMIC_POSITIONS crystal
Al 0.250 0.250 0.250
Al 0.750 0.750 0.750
Ru 0.000 0.000 0.000
Rh 0.500 0.500 0.500
CELL_PARAMETERS angstrom
0.000 2.968 2.968
2.968 0.000 2.968
2.968 2.968 0.000
```



Crystalline AlRuRh at its relaxed geometry. Source: the Alexandria database, functional GGA-PBEsol. Values from VASP.

Properties
Total magnetization   0.000 μB/atom
Symmetry   No. 156

The structure in Quantum ESPRESSO input format:
```
&SYSTEM
  ibrav = 0, nat = 3, ntyp = 3
/
ATOMIC_SPECIES
Al 26.98 Al.upf
Ru 101.07 Ru.upf
Rh 102.91 Rh.upf
ATOMIC_POSITIONS crystal
Al 0.000 0.000 0.000
Ru 0.667 0.333 0.331
Rh 0.333 0.667 0.674
CELL_PARAMETERS angstrom
2.732 0.000 0.000
-1.366 2.366 0.000
0.000 0.000 6.261
```



Crystalline Al2RuRh at its relaxed geometry. Source: the Alexandria database, functional GGA-PBEsol. Values from VASP.

Properties
Total magnetization   0.000 μB/atom
Symmetry   No. 10

The structure in Quantum ESPRESSO input format:
```
&SYSTEM
  ibrav = 0, nat = 4, ntyp = 3
/
ATOMIC_SPECIES
Al 26.98 Al.upf
Ru 101.07 Ru.upf
Rh 102.91 Rh.upf
ATOMIC_POSITIONS crystal
Al 0.214 0.000 0.246
Al 0.786 0.000 0.754
Ru 0.500 0.500 0.000
Rh 0.000 0.500 0.500
CELL_PARAMETERS angstrom
2.773 0.000 0.000
0.000 3.934 0.000
-0.446 0.000 5.056
```



Crystalline Al3RuRh at its relaxed geometry. Source: the Alexandria database, functional GGA-PBEsol. Values from VASP.

Properties
Total magnetization   0.000 μB/atom
Symmetry   No. 221

The structure in Quantum ESPRESSO input format:
```
&SYSTEM
  ibrav = 0, nat = 5, ntyp = 3
/
ATOMIC_SPECIES
Al 26.98 Al.upf
Ru 101.07 Ru.upf
Rh 102.91 Rh.upf
ATOMIC_POSITIONS crystal
Al 0.000 0.000 0.500
Al 0.000 0.500 0.000
Al 0.500 0.000 0.000
Ru 0.000 0.000 0.000
Rh 0.500 0.500 0.500
CELL_PARAMETERS angstrom
4.504 0.000 0.000
0.000 4.504 0.000
0.000 0.000 4.504
```



Crystalline Al2RuRh at its relaxed geometry. Source: the Alexandria database, functional GGA-PBEsol. Values from VASP.

Properties
Total magnetization   0.000 μB/atom
Symmetry   No. 119

The structure in Quantum ESPRESSO input format:
```
&SYSTEM
  ibrav = 0, nat = 4, ntyp = 3
/
ATOMIC_SPECIES
Al 26.98 Al.upf
Ru 101.07 Ru.upf
Rh 102.91 Rh.upf
ATOMIC_POSITIONS crystal
Al 0.000 0.000 0.000
Al 0.750 0.250 0.500
Ru 0.250 0.750 0.500
Rh 0.500 0.500 0.000
CELL_PARAMETERS angstrom
-1.793 1.793 4.233
1.793 -1.793 4.233
1.793 1.793 -4.233
```



Crystalline Al2Sb2Rh at its relaxed geometry. Source: the Alexandria database, functional GGA-PBEsol. Values from VASP.

Properties
Total magnetization   0.000 μB/atom
Symmetry   No. 127
Formation energy without anion corrections   0.04 eV per atom

The structure in Quantum ESPRESSO input format:
```
&SYSTEM
  ibrav = 0, nat = 10, ntyp = 3
/
ATOMIC_SPECIES
Al 26.98 Al.upf
Sb 121.76 Sb.upf
Rh 102.91 Rh.upf
ATOMIC_POSITIONS crystal
Al 0.142 0.358 0.000
Al 0.358 0.858 0.000
Al 0.642 0.142 0.000
Al 0.858 0.642 0.000
Sb 0.177 0.677 0.500
Sb 0.323 0.177 0.500
Sb 0.677 0.823 0.500
Sb 0.823 0.323 0.500
Rh 0.000 0.000 0.000
Rh 0.500 0.500 0.000
CELL_PARAMETERS angstrom
6.573 0.000 0.000
0.000 6.573 0.000
0.000 0.000 4.521
```



Crystalline AlSb2TeRh at its relaxed geometry. Source: the Alexandria database, functional GGA-PBEsol. Values from VASP.

Properties
Total magnetization   0.000 μB/atom
Symmetry   No. 123
Formation energy without anion corrections   0.42 eV per atom

The structure in Quantum ESPRESSO input format:
```
&SYSTEM
  ibrav = 0, nat = 5, ntyp = 4
/
ATOMIC_SPECIES
Al 26.98 Al.upf
Sb 121.76 Sb.upf
Te 127.60 Te.upf
Rh 102.91 Rh.upf
ATOMIC_POSITIONS crystal
Al 0.000 0.000 0.000
Sb 0.000 0.500 0.500
Sb 0.500 0.000 0.500
Te 0.500 0.500 0.000
Rh 0.500 0.500 0.500
CELL_PARAMETERS angstrom
4.961 0.000 0.000
0.000 4.961 0.000
0.000 0.000 5.534
```



no.,E_tot (eV/atom)
1,-7.5974
2,-6.3917
3,-7.5898
4,-5.5109
5,-5.6918
6,-7.5896
7,-7.5208
8,-7.5272
9,-7.7812
10,-7.0791
11,-5.7651
12,-7.1253
13,-5.0480
14,-4.5552